This record from Alexandria describes crystalline Ga2Ni7Ge2 at its relaxed geometry. The functional is PBE-GGA.

Cell and atoms, written as POSCAR:
```
Ga2Ni7Ge2
1.0
-4.0729 -2.1267 -2.0891
3.1208 -0.7889 -5.2828
2.4429 -3.9228 2.0296
Ga Ni Ge
2 7 2
Direct
0.6952 0.0000 0.3048
0.3048 0.0000 0.6952
0.0000 0.2871 0.4999
0.4999 0.7129 0.0000
0.0000 0.7129 0.5001
0.5001 0.2871 0.0000
0.0000 0.0000 0.0000
0.5001 0.7111 0.4999
0.4999 0.2889 0.5001
0.8065 0.5000 0.8065
0.1935 0.5000 0.1935
```

Calculated values
Symmetry: Cmmm (65)
Mass density in Mg/m³: 7.53
Distance to the lowest polymorph of the same formula in eV per formula unit: 3.236
Formation enthalpy at 0 K in eV/atom: -0.0004
N(E_F) in states/eV per atom: 0.415
Magnetization in μB/cell: 0.00